No. 1
HoTiV after structural relaxation, computed with PBE.

Its formation energy is 203 meV/atom. The total energy is -0.5141 Ry per atom.

Unit cell a=12.8174 b=12.8174 c=12.8174 alpha=165.99 beta=165.99 gamma=19.87
Fractional coordinates of all 6 atoms:
Ho  0.0680  0.0680  0.0000
Ho  0.9320  0.9320  0.0000
Ti  0.3390  0.3390  0.0000
Ti  0.6610  0.6610  0.0000
V  0.2240  0.2240  0.0000
V  0.7760  0.7760  0.0000

=====

No. 2
HoTiW4 after structural relaxation, computed with PBE.

Its formation energy is 113 meV/atom. The total energy is -0.7791 Ry per atom.

Unit cell a=5.4136 b=5.4136 c=5.4136 alpha=60.00 beta=60.00 gamma=60.00
Fractional coordinates of all 6 atoms:
Ho  0.0000  0.0000  0.0000
Ti  0.2500  0.2500  0.2500
W  0.1246  0.6251  0.6251
W  0.6251  0.1246  0.6251
W  0.6251  0.6251  0.1246
W  0.6251  0.6251  0.6251

=====

No. 3
HoTi2W after structural relaxation, computed with PBE.

Its formation energy is 116 meV/atom. The total energy is -0.6037 Ry per atom.

Unit cell a=3.3127 b=3.3127 c=7.1650 alpha=90.00 beta=90.00 gamma=90.00
Fractional coordinates of all 4 atoms:
Ho  0.0000  0.0000  0.0000
Ti  0.5000  0.5000  0.3043
Ti  0.5000  0.5000  0.6957
W  0.0000  0.0000  0.5000

=====

No. 4
YHoTi after structural relaxation, computed with PBE.

Its formation energy is 394 meV/atom. The total energy is -0.4350 Ry per atom.

Unit cell a=3.1511 b=5.1162 c=9.9935 alpha=90.00 beta=90.00 gamma=90.00
Fractional coordinates of all 6 atoms:
Y  0.2500  0.2500  0.2227
Y  0.7500  0.7500  0.7773
Ho  0.2500  0.7500  0.4320
Ho  0.7500  0.2500  0.5681
Ti  0.2500  0.7500  0.0460
Ti  0.7500  0.2500  0.9540